# NaPuAu

Crystalline NaPuAu at its relaxed geometry (PBE-GGA, Alexandria via LeMat-Bulk).

a = 4.802 Å, b = 4.802 Å, c = 7.575 Å
α = 90.00°, β = 90.00°, γ = 90.00°
Fractional coordinates of all 6 atoms:
1 Na 0.500 0.500 0.500
2 Na 0.000 0.000 0.500
3 Pu 0.500 0.500 0.000
4 Pu 0.000 0.000 0.000
5 Au 0.500 0.000 0.755
6 Au 0.000 0.500 0.245

Calculated values
Its total moment is 12.27 μB/cell. The value obtained for the formation energy is -0.3 eV per formula unit. As for the total energy: -6.400 eV per atom.

***

# NaPuAu4

Crystalline NaPuAu4 at its relaxed geometry (PBE-GGA, Alexandria via LeMat-Bulk).

a = 3.034 Å, b = 4.924 Å, c = 8.401 Å
α = 90.00°, β = 90.10°, γ = 90.00°
Fractional coordinates of all 6 atoms:
1 Na 0.500 0.500 0.500
2 Pu 0.500 0.000 0.000
3 Au 0.998 0.000 0.667
4 Au 0.000 0.500 0.831
5 Au 0.002 0.000 0.333
6 Au 0.000 0.500 0.169

Calculated values
Its total moment is 5.74 μB/cell. The value obtained for the formation energy is -2.2 eV per formula unit. As for the total energy: -5.153 eV per atom.

***

# Na3PuAu4

Crystalline Na3PuAu4 at its relaxed geometry (PBE-GGA, Alexandria via LeMat-Bulk).

a = 5.045 Å, b = 5.045 Å, c = 8.786 Å
α = 73.32°, β = 73.32°, γ = 60.00°
Fractional coordinates of all 8 atoms:
1 Na 0.244 0.244 0.268
2 Na 0.756 0.756 0.732
3 Na 0.500 0.500 0.500
4 Au 0.879 0.879 0.363
5 Au 0.372 0.372 0.884
6 Au 0.121 0.121 0.637
7 Au 0.628 0.628 0.116
8 Pu 0.000 0.000 0.000

Calculated values
Its total moment is 5.87 μB/cell. The value obtained for the formation energy is -2.6 eV per formula unit. As for the total energy: -4.245 eV per atom.

***

# NaPuAu4

Crystalline NaPuAu4 at its relaxed geometry (PBE-GGA, Alexandria via LeMat-Bulk).

a = 5.649 Å, b = 5.649 Å, c = 5.649 Å
α = 60.00°, β = 60.00°, γ = 60.00°
Fractional coordinates of all 6 atoms:
1 Na 0.000 0.000 0.000
2 Au 0.625 0.625 0.124
3 Au 0.625 0.124 0.625
4 Au 0.625 0.625 0.625
5 Au 0.124 0.625 0.625
6 Pu 0.250 0.250 0.250

Calculated values
Its total moment is 6.34 μB/cell. The value obtained for the formation energy is -1.8 eV per formula unit. As for the total energy: -5.093 eV per atom.

***

# NaPuAu2

Crystalline NaPuAu2 at its relaxed geometry (PBE-GGA, Alexandria via LeMat-Bulk).

a = 3.074 Å, b = 5.428 Å, c = 5.428 Å
α = 90.00°, β = 90.00°, γ = 90.00°
Fractional coordinates of all 4 atoms:
1 Na 0.500 0.000 0.000
2 Au 0.000 0.000 0.500
3 Au 0.000 0.500 0.000
4 Pu 0.500 0.500 0.500

Calculated values
Its total moment is 6.19 μB/cell. The value obtained for the formation energy is -1.5 eV per formula unit. As for the total energy: -5.918 eV per atom.

***

# NaPuAu2

Crystalline NaPuAu2 at its relaxed geometry (PBE-GGA, Alexandria via LeMat-Bulk).

a = 3.753 Å, b = 3.753 Å, c = 8.810 Å
α = 77.70°, β = 77.70°, γ = 60.00°
Fractional coordinates of all 4 atoms:
1 Na 0.000 0.000 0.000
2 Au 0.248 0.248 0.256
3 Au 0.752 0.752 0.744
4 Pu 0.500 0.500 0.500

Calculated values
Its total moment is 5.93 μB/cell. The value obtained for the formation energy is -0.8 eV per formula unit. As for the total energy: -5.742 eV per atom.

***

# NaPuAu2

Crystalline NaPuAu2 at its relaxed geometry (PBE-GGA, Alexandria via LeMat-Bulk).

a = 3.449 Å, b = 3.449 Å, c = 7.802 Å
α = 90.00°, β = 90.00°, γ = 90.00°
Fractional coordinates of all 4 atoms:
1 Na 0.500 0.500 0.000
2 Au 0.000 0.000 0.747
3 Au 0.000 0.000 0.253
4 Pu 0.500 0.500 0.500

Calculated values
Its total moment is 6.07 μB/cell. The value obtained for the formation energy is -1.4 eV per formula unit. As for the total energy: -5.910 eV per atom.

***

# NaPuAu

Crystalline NaPuAu at its relaxed geometry (PBE-GGA, Alexandria via LeMat-Bulk).

a = 3.371 Å, b = 3.371 Å, c = 7.372 Å
α = 103.22°, β = 103.22°, γ = 90.00°
Fractional coordinates of all 3 atoms:
1 Na 0.026 0.026 0.052
2 Au 0.668 0.668 0.336
3 Pu 0.306 0.306 0.613

Calculated values
Its total moment is 6.19 μB/cell. The value obtained for the formation energy is -0.2 eV per formula unit. As for the total energy: -6.374 eV per atom.